The following is a meta-GGA SCAN calculation of a PBEsol-optimized structure of ZnPH7C2N4O5, from Alexandria.

Cell: 13.6393 5.0130 10.5658 Å, 90.00 95.14 90.00°
Last column: nearest neighbours and their distance in Å.
Space group P2_1/c (No. 14)
Symmetry-distinct sites (fractional):
Zn1 0.0015 0.2055 0.1409 x4  4 O 1.91-1.99
P1 0.1262 0.7270 0.1163 x4  4 O 1.53-1.58
H1 0.1782 0.1938 0.4491 x4  1 N 1.03
H2 0.2147 0.0191 0.3118 x4  1 N 1.04
H3 0.2714 0.5458 0.5308 x4  1 N 1.05
H4 0.3393 0.6426 0.1233 x4  1 N 1.04
H5 0.3614 0.1090 0.2347 x4  1 N 1.02
H6 0.4331 0.1139 0.8001 x4  1 N 1.03
H7 0.4497 0.0194 0.5794 x4  1 N 1.04
C1 0.3061 0.1852 0.8780 x4  3 N 1.32-1.36
C2 0.4006 0.6956 0.4715 x4  1 O 1.26, 2 N 1.34-1.39
N1 0.2260 0.1676 0.3801 x4  2 H 1.03-1.04
N2 0.3232 0.5133 0.4650 x4  1 H 1.05
N3 0.3711 0.2314 0.7940 x4  2 H 1.02-1.03
N4 0.3986 0.6339 0.0683 x4  2 H 1.04
O1 0.0481 0.6517 0.7027 x4  1 P 1.58
O2 0.1061 0.6410 0.4840 x4  1 P 1.55
O3 0.1123 0.0781 0.6070 x4  1 P 1.54
O4 0.2300 0.6953 0.6718 x4  1 P 1.53
O5 0.4648 0.6967 0.3932 x4  1 C 1.26

Total DFT energy (no corrections) ... -7.828 eV/atom
DOS at the Fermi energy ... 0.00 states/eV per cell

The following is a meta-GGA SCAN calculation of a PBEsol-optimized structure of Ba3NaSrSb3O12, from Alexandria.

Cell: 11.6434 11.7145 8.2546 Å, 90.00 90.00 90.00°
Last column: nearest neighbours and their distance in Å.
Space group Cmme (No. 67)
Symmetry-distinct sites (fractional):
Ba1 0.0000 0.0000 0.0000 x4  12 O 2.91-2.93
Ba2 0.2500 0.2500 0.0000 x4  12 O 2.92-2.96
Ba3 0.2500 0.2500 0.5000 x4  12 O 2.90-2.93
Na1 0.0000 0.2500 0.2495 x4  6 O 2.21-2.24
Sr1 0.0000 0.0000 0.5000 x4  12 O 2.88-2.93
Sb1 0.0000 0.2500 0.7470 x4  6 O 1.90-2.06
Sb2 0.2500 0.0000 0.2520 x8  6 O 1.90-2.08
O1 0.0000 0.2500 0.5171 x4  1 Sb 1.90
O2 0.0000 0.2500 0.9779 x4  1 Sb 1.91
O3 0.1241 0.1241 0.7456 x16  2 Sb 2.06
O4 0.1332 0.1135 0.2529 x16  1 Sb 1.90
O5 0.2500 0.0000 0.0000 x4  2 Sb 2.08
O6 0.2500 0.0000 0.5000 x4  2 Sb 2.05

Total DFT energy (no corrections) ... -18.938 eV/atom
Energy relative to the elements, uncorrected ... -2353 meV per atom
DOS at the Fermi energy ... 0.00 states/eV per cell

The following is a meta-GGA SCAN calculation of a PBEsol-optimized structure of LiW2Cl, from Alexandria.

Cell: 6.2101 6.2101 6.2101 Å, 90.00 90.00 90.00°
Last column: nearest neighbours and their distance in Å.
Space group F-43m (No. 216)
Symmetry-distinct sites (fractional):
Li1 0.0000 0.0000 0.0000 x4  4 Cl 2.69, 4 W 2.69
W1 0.0000 0.0000 0.5000 x4  4 Cl 2.69, 4 W 2.69
W2 0.2500 0.2500 0.2500 x4  4 W 2.69, 4 Li 2.69
Cl1 0.2500 0.2500 0.7500 x4  4 W 2.69, 4 Li 2.69

Total DFT energy (no corrections) ... -36.451 eV/atom
Energy relative to the elements, uncorrected ... 985 meV per atom
DOS at the Fermi energy ... 1.20 states/eV per cell

The following is a meta-GGA SCAN calculation of a PBEsol-optimized structure of CsBS2N, from Alexandria.

Cell: 6.3376 6.3376 2.7390 Å, 90.00 90.00 90.00°
Last column: nearest neighbours and their distance in Å.
Space group P4/mmm (No. 123)
Symmetry-distinct sites (fractional):
Cs1 0.0000 0.0000 0.0000 x1  2 Cs 2.74
B1 0.5000 0.5000 0.5000 x1  2 N 1.37
S1 0.0000 0.5000 0.5000 x2  2 S 2.74
N1 0.5000 0.5000 0.0000 x1  2 B 1.37

Total DFT energy (no corrections) ... -14.597 eV/atom
Energy relative to the elements, uncorrected ... 160 meV per atom
DOS at the Fermi energy ... 1.54 states/eV per cell

The following is a meta-GGA SCAN calculation of a PBEsol-optimized structure of SmAsS, from Alexandria.

Cell: 3.8347 3.8347 8.5633 Å, 90.00 90.00 90.00°
Last column: nearest neighbours and their distance in Å.
Space group P4/nmm (No. 129, origin choice 2)
Symmetry-distinct sites (fractional):
Sm1 0.2500 0.2500 0.2097 x2  5 S 2.80-2.88, 4 As 3.14
As1 0.2500 0.7500 0.5000 x2  4 As 2.71
S1 0.2500 0.2500 0.8736 x2  5 Sm 2.80-2.88

Total DFT energy (no corrections) ... -26.550 eV/atom
Energy relative to the elements, uncorrected ... -1796 meV per atom
DOS at the Fermi energy ... 0.62 states/eV per cell

The following is a meta-GGA SCAN calculation of a PBEsol-optimized structure of ScAl, from Alexandria.

Cell: 3.1966 3.1966 13.6851 Å, 90.00 90.00 120.00°
Last column: nearest neighbours and their distance in Å.
Space group R-3m (No. 166, hexagonal axes)
Symmetry-distinct sites (fractional):
Sc1 0.0000 0.0000 0.0000 x3  6 Al 2.93, 6 Sc 3.20
Al1 0.0000 0.0000 0.5000 x3  6 Sc 2.93, 6 Al 3.20

Total DFT energy (no corrections) ... -11.242 eV/atom
DOS at the Fermi energy ... 4.80 states/eV per cell
Energy of formation from the pure elements ... -0.247 eV/atom

The following is a meta-GGA SCAN calculation of a PBEsol-optimized structure of CaAl2Hg, from Alexandria.

Cell: 6.9338 6.9338 6.9338 Å, 90.00 90.00 90.00°
Last column: nearest neighbours and their distance in Å.
Space group F-43m (No. 216)
Symmetry-distinct sites (fractional):
Ca1 0.0000 0.0000 0.0000 x4  4 Hg 3.00, 4 Al 3.00
Al1 0.0000 0.0000 0.5000 x4  4 Hg 3.00, 4 Al 3.00
Al2 0.2500 0.2500 0.7500 x4  4 Ca 3.00, 4 Al 3.00
Hg1 0.2500 0.2500 0.2500 x4  4 Ca 3.00, 4 Al 3.00

Total DFT energy (no corrections) ... -23.524 eV/atom
DOS at the Fermi energy ... 5.44 states/eV per cell
Energy of formation from the pure elements ... -0.190 eV/atom

The following is a meta-GGA SCAN calculation of a PBEsol-optimized structure of RuPt, from Alexandria.

Cell: 4.7313 4.4020 5.4255 Å, 90.00 90.00 90.00°
Last column: nearest neighbours and their distance in Å.
Space group Pnma (No. 62)
Symmetry-distinct sites (fractional):
Ru1 0.0828 0.2500 0.1272 x4  8 Pt 2.69-2.76, 4 Ru 2.71
Pt1 0.0906 0.2500 0.6222 x4  8 Ru 2.69-2.76, 4 Pt 2.71-2.74

Total DFT energy (no corrections) ... -52.463 eV/atom
DOS at the Fermi energy ... 8.08 states/eV per cell
Energy of formation from the pure elements ... 0.046 eV/atom

The following is a meta-GGA SCAN calculation of a PBEsol-optimized structure of HfGa3Tc, from Alexandria.

Cell: 4.9513 4.9513 4.9513 Å, 90.00 90.00 90.00°
Last column: nearest neighbours and their distance in Å.
Space group Pm-3m (No. 221)
Symmetry-distinct sites (fractional):
Hf1 0.0000 0.0000 0.0000 x1  6 Ga 2.48
Ga1 0.0000 0.0000 0.5000 x3  2 Hf 2.48
Tc1 0.5000 0.5000 0.5000 x1  12 Ga 3.50

Total DFT energy (no corrections) ... -28.170 eV/atom
DOS at the Fermi energy ... 1.78 states/eV per cell
Energy of formation from the pure elements ... 1.185 eV/atom

The following is a meta-GGA SCAN calculation of a PBEsol-optimized structure of MnAu2Se, from Alexandria.

Cell: 3.4683 3.7885 10.7755 Å, 90.00 90.00 90.00°
Last column: nearest neighbours and their distance in Å.
Space group Immm (No. 71)
Symmetry-distinct sites (fractional):
Mn1 0.0000 0.0000 0.0000 x2  4 Se 2.57, 4 Au 2.78
Au1 0.0000 0.5000 0.2987 x4  4 Au 2.77, 2 Mn 2.78, 2 Se 2.88
Se1 0.0000 0.0000 0.5000 x2  4 Mn 2.57

Total DFT energy (no corrections) ... -44.327 eV/atom
Energy relative to the elements, uncorrected ... -165 meV per atom
DOS at the Fermi energy ... 2.56 states/eV per cell

The following is a meta-GGA SCAN calculation of a PBEsol-optimized structure of MnNi2Pt, from Alexandria.

Cell: 5.8026 5.8026 5.8026 Å, 90.00 90.00 90.00°
Last column: nearest neighbours and their distance in Å.
Space group Fm-3m (No. 225)
Symmetry-distinct sites (fractional):
Mn1 0.0000 0.0000 0.0000 x4  8 Ni 2.51
Ni1 0.2500 0.2500 0.2500 x8  4 Mn 2.51, 4 Pt 2.51
Pt1 0.0000 0.0000 0.5000 x4  8 Ni 2.51

Total DFT energy (no corrections) ... -30.435 eV/atom
DOS at the Fermi energy ... 27.48 states/eV per cell
Energy of formation from the pure elements ... -0.237 eV/atom

The following is a meta-GGA SCAN calculation of a PBEsol-optimized structure of NiP3, from Alexandria.

Cell: 7.7367 7.7367 7.7367 Å, 90.00 90.00 90.00°
Last column: nearest neighbours and their distance in Å.
Space group Im-3 (No. 204)
Symmetry-distinct sites (fractional):
Ni1 0.2500 0.2500 0.2500 x8  6 P 2.25
P1 0.0000 0.1445 0.3553 x24  2 P 2.24, 2 Ni 2.25

Total DFT energy (no corrections) ... -12.178 eV/atom
DOS at the Fermi energy ... 12.78 states/eV per cell
Energy of formation from the pure elements ... -0.335 eV/atom